Density functional theory data (SCAN) for a PBEsol-optimized structure of HfTi4Se10.

electronic total energy	-346.63	eV for the cell shown
ΔE_f (raw)	-1.2702	eV per atom

```
HfTi4Se10
1.0
3.523 0.000 0.000
-1.761 3.051 0.000
0.000 0.000 29.714
Hf Ti Se
1 4 10
direct
0.000 0.000 0.000
0.000 0.000 0.204
0.000 0.000 0.401
0.000 0.000 0.599
0.000 0.000 0.796
0.333 0.667 0.056
0.333 0.667 0.255
0.333 0.667 0.453
0.333 0.667 0.650
0.333 0.667 0.848
0.667 0.333 0.152
0.667 0.333 0.350
0.667 0.333 0.547
0.667 0.333 0.745
0.667 0.333 0.944
```

=====

Density functional theory data (SCAN) for a PBEsol-optimized structure of In2CoSb.

electronic total energy	-120.25	eV for the cell shown
ΔE_f (raw)	0.2719	eV per atom

```
In2CoSb
1.0
3.077 0.000 0.000
0.000 3.077 0.000
0.000 0.000 8.453
In Co Sb
2 1 1
direct
0.000 0.000 0.185
0.000 0.000 0.815
0.500 0.500 0.000
0.500 0.500 0.500
```

=====

Density functional theory data (SCAN) for a PBEsol-optimized structure of RbMn3Ru.

electronic total energy	-97.60	eV for the cell shown
energy of formation from the pure elements	12.74	eV/f.u.

```
RbMn3Ru
1.0
4.488 0.000 0.000
0.000 4.488 0.000
0.000 0.000 4.488
Rb Mn Ru
1 3 1
direct
0.000 0.000 0.000
0.000 0.000 0.500
0.000 0.500 0.000
0.500 0.000 0.000
0.500 0.500 0.500
```

=====

Density functional theory data (SCAN) for a PBEsol-optimized structure of ZrInMo.

electronic total energy	-97.05	eV for the cell shown
energy of formation from the pure elements	1.92	eV/f.u.

```
ZrInMo
1.0
0.000 3.227 3.227
3.227 0.000 3.227
3.227 3.227 0.000
Zr In Mo
1 1 1
direct
0.000 0.000 0.000
0.500 0.500 0.500
0.250 0.250 0.250
```

=====

Density functional theory data (SCAN) for a PBEsol-optimized structure of NaCdRe3.

electronic total energy	-231.12	eV for the cell shown
energy of formation from the pure elements	16.80	eV/f.u.

```
NaCdRe3
1.0
4.834 0.000 0.000
0.000 4.834 0.000
0.000 0.000 4.834
Na Cd Re
1 1 3
direct
0.000 0.000 0.000
0.500 0.500 0.500
0.000 0.500 0.500
0.500 0.000 0.500
0.500 0.500 0.000
```

=====

Density functional theory data (SCAN) for a PBEsol-optimized structure of LiTcSb3.

electronic total energy	-147.47	eV for the cell shown
relative energy among the computed polymorphs	0.0	meV/atom
ΔE_f (raw)	0.3524	eV per atom

```
LiTcSb3
1.0
5.157 0.000 0.000
0.000 5.157 0.000
0.000 0.000 5.157
Li Tc Sb
1 1 3
direct
0.000 0.000 0.000
0.500 0.500 0.500
0.000 0.500 0.500
0.500 0.000 0.500
0.500 0.500 0.000
```

=====

Density functional theory data (SCAN) for a PBEsol-optimized structure of ScNiW3.

electronic total energy	-224.88	eV for the cell shown
energy of formation from the pure elements	14.59	eV/f.u.

```
ScNiW3
1.0
4.493 0.000 0.000
0.000 4.493 0.000
0.000 0.000 4.493
Sc Ni W
1 1 3
direct
0.000 0.000 0.000
0.500 0.500 0.500
0.000 0.000 0.500
0.000 0.500 0.000
0.500 0.000 0.000
```

=====

Density functional theory data (SCAN) for a PBEsol-optimized structure of YNiPb.

electronic total energy	-121.38	eV for the cell shown
energy of formation from the pure elements	-1.58	eV/f.u.

```
YNiPb
1.0
4.491 0.000 0.000
-2.246 3.889 0.000
0.000 0.000 3.599
Y Ni Pb
1 1 1
direct
0.000 0.000 0.000
0.667 0.333 0.500
0.333 0.667 0.500
```

=====

Density functional theory data (SCAN) for a PBEsol-optimized structure of CaCoCl.

electronic total energy	-34.54	eV for the cell shown
ΔE_f (raw)	0.1344	eV per atom

```
CaCoCl
1.0
0.000 3.094 3.094
3.094 0.000 3.094
3.094 3.094 0.000
Ca Co Cl
1 1 1
direct
0.000 0.000 0.000
0.500 0.500 0.500
0.750 0.750 0.750
```

=====

Density functional theory data (SCAN) for a PBEsol-optimized structure of Be2TlZn.

electronic total energy	-92.36	eV for the cell shown
relative energy among the computed polymorphs	62.5	meV/atom
energy of formation from the pure elements	2.23	eV/f.u.

```
Be2TlZn
1.0
3.921 0.000 0.000
0.000 3.921 0.000
0.000 0.000 3.727
Be Tl Zn
2 1 1
direct
0.000 0.500 0.000
0.500 0.000 0.000
0.000 0.000 0.500
0.500 0.500 0.500
```

=====

Density functional theory data (SCAN) for a PBEsol-optimized structure of V6GaSb.

electronic total energy	-160.56	eV for the cell shown
ΔE_f (raw)	-0.2524	eV per atom

```
V6GaSb
1.0
4.802 0.000 0.000
0.000 4.802 0.000
0.000 0.000 4.802
V Ga Sb
6 1 1
direct
0.000 0.243 0.500
0.000 0.757 0.500
0.243 0.500 0.000
0.500 0.000 0.243
0.500 0.000 0.757
0.757 0.500 0.000
0.000 0.000 0.000
0.500 0.500 0.500
```

=====

Density functional theory data (SCAN) for a PBEsol-optimized structure of HgPtC2.

electronic total energy	-305.53	eV for the cell shown
energy of formation from the pure elements	5.80	eV/f.u.

```
HgPtC2
1.0
-2.476 2.476 4.806
2.476 -2.476 4.806
2.476 2.476 -4.806
Hg Pt C
2 2 4
direct
0.000 0.000 0.000
0.750 0.250 0.500
0.250 0.750 0.500
0.500 0.500 0.000
0.182 0.625 0.057
0.375 0.432 0.557
0.568 0.125 0.943
0.875 0.818 0.443
```

=====

Density functional theory data (SCAN) for a PBEsol-optimized structure of Zr3NiI.

electronic total energy	-143.90	eV for the cell shown
relative energy among the computed polymorphs	0.0	meV/atom
ΔE_f (raw)	0.2219	eV per atom

```
Zr3NiI
1.0
4.868 0.000 0.000
0.000 4.868 0.000
0.000 0.000 4.868
Zr Ni I
3 1 1
direct
0.000 0.000 0.500
0.000 0.500 0.000
0.500 0.000 0.000
0.000 0.000 0.000
0.500 0.500 0.500
```

=====

Density functional theory data (SCAN) for a PBEsol-optimized structure of RbSrRh2.

electronic total energy	-107.64	eV for the cell shown
energy of formation from the pure elements	2.92	eV/f.u.

```
RbSrRh2
1.0
0.000 3.557 3.557
3.557 0.000 3.557
3.557 3.557 0.000
Rb Sr Rh
1 1 2
direct
0.000 0.000 0.000
0.500 0.500 0.500
0.250 0.250 0.250
0.750 0.750 0.750
```

=====

Density functional theory data (SCAN) for a PBEsol-optimized structure of CsBS2.

electronic total energy	-68.26	eV for the cell shown
ΔE_f (raw)	-0.9399	eV per atom

```
CsBS2
1.0
2.870 1.657 5.872
-2.870 1.657 5.872
0.000 -3.313 5.872
Cs B S
1 1 2
direct
0.000 0.000 0.000
0.500 0.500 0.500
0.405 0.405 0.405
0.595 0.595 0.595
```

=====

Density functional theory data (SCAN) for a PBEsol-optimized structure of Ba3Os.

electronic total energy	-188.43	eV for the cell shown
energy of formation from the pure elements	2.10	eV/f.u.

```
Ba3Os
1.0
-1.880 2.783 7.784
1.880 -2.783 7.784
1.880 2.783 -7.784
Ba Os
3 1
direct
0.000 0.000 0.000
0.344 0.844 0.500
0.656 0.156 0.500
0.500 0.500 0.000
```

=====

Density functional theory data (SCAN) for a PBEsol-optimized structure of LiAlTe2N.

electronic total energy	-94.43	eV for the cell shown
ΔE_f (raw)	-0.0993	eV per atom

```
LiAlTe2N
1.0
5.687 0.000 0.000
0.000 5.687 0.000
0.000 0.000 3.425
Li Al Te N
1 1 2 1
direct
0.000 0.000 0.000
0.500 0.500 0.500
0.000 0.500 0.500
0.500 0.000 0.500
0.500 0.500 0.000
```

=====

Density functional theory data (SCAN) for a PBEsol-optimized structure of Zr2BeIr.

electronic total energy	-139.02	eV for the cell shown
energy of formation from the pure elements	-2.17	eV/f.u.

```
Zr2BeIr
1.0
2.040 1.178 4.902
-2.040 1.178 4.902
0.000 -2.356 4.902
Zr Be Ir
2 1 1
direct
0.000 0.000 0.000
0.194 0.194 0.194
0.771 0.771 0.771
0.423 0.423 0.423
```

=====

Density functional theory data (SCAN) for a PBEsol-optimized structure of NaGaPF2.

electronic total energy	-42.01	eV for the cell shown
ΔE_f (raw)	-0.7937	eV per atom

```
NaGaPF2
1.0
4.126 0.000 0.000
0.000 4.126 0.000
0.000 0.000 5.033
Na Ga P F
1 1 1 2
direct
0.000 0.000 0.000
0.500 0.500 0.000
0.500 0.500 0.500
0.000 0.500 0.500
0.500 0.000 0.500
```

=====

Density functional theory data (SCAN) for a PBEsol-optimized structure of Fe2OsSe.

electronic total energy	-126.05	eV for the cell shown
ΔE_f (raw)	0.5428	eV per atom

```
Fe2OsSe
1.0
4.254 -1.424 0.000
4.254 1.424 0.000
-0.264 0.000 4.301
Fe Os Se
2 1 1
direct
0.232 0.232 0.229
0.768 0.768 0.771
0.500 0.500 0.000
0.000 0.000 0.500
```

=====

Density functional theory data (SCAN) for a PBEsol-optimized structure of Ca2BeZn.

electronic total energy	-37.19	eV for the cell shown
relative energy among the computed polymorphs	0.0	meV/atom
energy of formation from the pure elements	0.00	eV/f.u.

```
Ca2BeZn
1.0
4.208 0.000 0.000
0.000 2.195 5.187
0.000 -2.195 5.187
Ca Be Zn
2 1 1
direct
0.000 0.000 0.000
0.500 0.292 0.292
0.000 0.692 0.692
0.500 0.598 0.598
```

=====

Density functional theory data (SCAN) for a PBEsol-optimized structure of LiP2Os.

electronic total energy	-94.38	eV for the cell shown
relative energy among the computed polymorphs	50.1	meV/atom
energy of formation from the pure elements	0.69	eV/f.u.

```
LiP2Os
1.0
1.454 0.839 7.538
-1.454 0.839 7.538
0.000 -1.678 7.538
Li P Os
1 2 1
direct
0.000 0.000 0.000
0.247 0.247 0.247
0.505 0.505 0.505
0.767 0.767 0.767
```

=====

Density functional theory data (SCAN) for a PBEsol-optimized structure of Cr8Re7.

electronic total energy	-1287.55	eV for the cell shown
energy of formation from the pure elements	0.98	eV/f.u.

```
Cr8Re7
1.0
8.942 0.000 0.000
0.000 8.942 0.000
0.000 0.000 4.888
Cr Re
16 14
direct
0.033 0.379 0.000
0.064 0.265 0.500
0.121 0.533 0.500
0.235 0.564 0.000
0.265 0.064 0.500
0.379 0.033 0.000
0.436 0.765 0.000
0.467 0.879 0.500
0.533 0.121 0.500
0.564 0.235 0.000
0.621 0.967 0.000
0.735 0.936 0.500
0.765 0.436 0.000
0.879 0.467 0.500
0.936 0.735 0.500
0.967 0.621 0.000
0.000 0.000 0.500
0.108 0.108 0.000
0.187 0.813 0.248
0.187 0.813 0.752
0.313 0.313 0.252
0.313 0.313 0.748
0.392 0.608 0.500
0.500 0.500 0.000
0.608 0.392 0.500
0.687 0.687 0.252
0.687 0.687 0.748
0.813 0.187 0.248
0.813 0.187 0.752
0.892 0.892 0.000
```

=====

Density functional theory data (SCAN) for a PBEsol-optimized structure of Li4FeCu3O8.

electronic total energy	-146.46	eV for the cell shown
ΔE_f (raw)	-1.4580	eV per atom

```
Li4FeCu3O8
1.0
2.897 1.673 4.674
-2.897 1.673 4.674
0.000 -3.346 4.674
Li Fe Cu O
4 1 3 8
direct
0.000 0.000 0.000
0.000 0.500 0.500
0.500 0.000 0.500
0.500 0.500 0.000
0.500 0.500 0.500
0.000 0.000 0.500
0.000 0.500 0.000
0.500 0.000 0.000
0.241 0.241 0.241
0.266 0.730 0.730
0.270 0.270 0.734
0.270 0.734 0.270
0.730 0.266 0.730
0.730 0.730 0.266
0.734 0.270 0.270
0.759 0.759 0.759
```

=====

Density functional theory data (SCAN) for a PBEsol-optimized structure of BeIn2Cl.

electronic total energy	-79.54	eV for the cell shown
relative energy among the computed polymorphs	0.0	meV/atom
ΔE_f (raw)	-0.1078	eV per atom

```
BeIn2Cl
1.0
-1.541 2.843 4.840
1.541 -2.843 4.840
1.541 2.843 -4.840
Be In Cl
1 2 1
direct
0.000 0.000 0.000
0.470 0.470 0.000
0.777 0.277 0.500
0.143 0.643 0.500
```

=====

Density functional theory data (SCAN) for a PBEsol-optimized structure of CoTcIr2.

electronic total energy	-194.64	eV for the cell shown
relative energy among the computed polymorphs	109.9	meV/atom
energy of formation from the pure elements	-0.07	eV/f.u.

```
CoTcIr2
1.0
-1.858 1.858 3.779
1.858 -1.858 3.779
1.858 1.858 -3.779
Co Tc Ir
1 1 2
direct
0.000 0.000 0.000
0.250 0.750 0.500
0.500 0.500 0.000
0.750 0.250 0.500
```

=====

Density functional theory data (SCAN) for a PBEsol-optimized structure of La3TlRu.

electronic total energy	-238.73	eV for the cell shown
relative energy among the computed polymorphs	87.9	meV/atom
energy of formation from the pure elements	-2.23	eV/f.u.

```
La3TlRu
1.0
5.387 0.000 0.000
0.000 5.387 0.000
0.000 0.000 5.387
La Tl Ru
3 1 1
direct
0.000 0.000 0.500
0.000 0.500 0.000
0.500 0.000 0.000
0.500 0.500 0.500
0.000 0.000 0.000
```